A plane-wave DFT calculation with PBE was carried out for a geometry-optimized LiThMgTl structure.

For the density of states at the Fermi level, the calculation gives 6.54 states/eV/cell. For the spin magnetization, the calculation gives 0.00 μB per cell. The calculation puts the formation energy at 1.0 kJ/mol of atoms. The value obtained for the total energy is -3.313 eV/atom.

The space group is F-43m (No. 216) and the conventional cell measures 7.371, 7.371 and 7.371 Å, with angles of 90.00, 90.00 and 90.00 degrees. The distinct sites, in fractional coordinates, are Li at (0.000, 0.000, 0.000), Th at (0.250, 0.250, 0.250), Mg at (0.250, 0.250, 0.750) and Tl at (0.000, 0.000, 0.500).


A plane-wave DFT calculation with PBE was carried out for a geometry-optimized LiThMg2Tl4 structure.

For the density of states at the Fermi level, the calculation gives 8.93 states/eV/cell. For the spin magnetization, the calculation gives 0.00 μB per cell. The calculation puts the formation energy at -12.6 kJ/mol of atoms. The value obtained for the total energy is -2.879 eV/atom.

The space group is R-3m (No. 166, hexagonal axes) and the conventional cell measures 5.1169, 5.1169 and 26.6719 Å, with angles of 90.00, 90.00 and 120.00 degrees. The distinct sites, in fractional coordinates, are Li at (0.0000, 0.0000, 0.0000), Th at (0.0000, 0.0000, 0.5000), Mg at (0.0000, 0.0000, 0.2495), Tl at (0.0000, 0.0000, 0.1144) and Tl at (0.0000, 0.0000, 0.3690).


A plane-wave DFT calculation with PBE was carried out for a geometry-optimized LiThMg2Zn2 structure.

For the density of states at the Fermi level, the calculation gives 3.57 states/eV/cell. For the spin magnetization, the calculation gives 0.00 μB per cell. The calculation puts the formation energy at -12.2 kJ/mol of atoms. The value obtained for the total energy is -2.638 eV/atom.

The space group is P-3m1 (No. 164) and the conventional cell measures 4.7053, 4.7053 and 6.6030 Å, with angles of 90.00, 90.00 and 120.00 degrees. The distinct sites, in fractional coordinates, are Li at (0.0000, 0.0000, 0.0000), Th at (0.0000, 0.0000, 0.5000), Mg at (0.3333, 0.6667, 0.1715) and Zn at (0.3333, 0.6667, 0.7308).


A plane-wave DFT calculation with PBE was carried out for a geometry-optimized LiThMgZn structure.

For the density of states at the Fermi level, the calculation gives 5.69 states/eV/cell. For the spin magnetization, the calculation gives 0.00 μB per cell. The calculation puts the formation energy at -5.7 kJ/mol of atoms. The value obtained for the total energy is -3.110 eV/atom.

The space group is F-43m (No. 216) and the conventional cell measures 7.037, 7.037 and 7.037 Å, with angles of 90.00, 90.00 and 90.00 degrees. The distinct sites, in fractional coordinates, are Li at (0.000, 0.000, 0.000), Th at (0.250, 0.250, 0.750), Mg at (0.250, 0.250, 0.250) and Zn at (0.000, 0.000, 0.500).


A plane-wave DFT calculation with PBE was carried out for a geometry-optimized LiThMg2Zn4 structure.

For the density of states at the Fermi level, the calculation gives 9.76 states/eV/cell. For the spin magnetization, the calculation gives 0.00 μB per cell. The calculation puts the formation energy at -15.2 kJ/mol of atoms. The value obtained for the total energy is -2.360 eV/atom.

The space group is R-3m (No. 166, hexagonal axes) and the conventional cell measures 4.5981, 4.5981 and 25.3264 Å, with angles of 90.00, 90.00 and 120.00 degrees. The distinct sites, in fractional coordinates, are Li at (0.0000, 0.0000, 0.0000), Th at (0.0000, 0.0000, 0.5000), Mg at (0.0000, 0.0000, 0.2579), Zn at (0.0000, 0.0000, 0.1058) and Zn at (0.0000, 0.0000, 0.3709).


A plane-wave DFT calculation with PBE was carried out for a geometry-optimized LiMgTi structure.

For the density of states at the Fermi level, the calculation gives 5.13 states/eV/cell. The distance to the lowest polymorph of the same formula comes out at 0 meV/atom. For the spin magnetization, the calculation gives 0.00 μB per cell. The calculation puts the formation energy at 1.5 kJ/mol of atoms. The value obtained for the total energy is -3.786 eV/atom.

The space group is Cm (No. 8) and the conventional cell measures 4.301, 4.064 and 13.126 Å, with angles of 90.00, 90.09 and 90.00 degrees. The distinct sites, in fractional coordinates, are Li at (0.000, 0.000, 0.000), Li at (0.002, 0.500, 0.841), Mg at (0.000, 0.000, 0.674), Mg at (0.498, 0.000, 0.168), Ti at (0.499, 0.000, 0.492) and Ti at (0.499, 0.500, 0.350).


A plane-wave DFT calculation with PBE was carried out for a geometry-optimized LiMg2Ti structure.

For the density of states at the Fermi level, the calculation gives 2.08 states/eV/cell. The distance to the lowest polymorph of the same formula comes out at 0 meV/atom. For the spin magnetization, the calculation gives 0.98 μB per cell. The calculation puts the formation energy at 7.4 kJ/mol of atoms. The value obtained for the total energy is -3.173 eV/atom.

The space group is P4/mmm (No. 123) and the conventional cell measures 2.999, 2.999 and 8.769 Å, with angles of 90.00, 90.00 and 90.00 degrees. The distinct sites, in fractional coordinates, are Li at (0.000, 0.000, 0.000), Mg at (0.500, 0.500, 0.250) and Ti at (0.000, 0.000, 0.500).


A plane-wave DFT calculation with PBE was carried out for a geometry-optimized LiMg2Ti structure.

For the density of states at the Fermi level, the calculation gives 5.45 states/eV/cell. The distance to the lowest polymorph of the same formula comes out at 191 meV/atom. For the spin magnetization, the calculation gives 0.00 μB per cell. The calculation puts the formation energy at 25.8 kJ/mol of atoms. The value obtained for the total energy is -2.982 eV/atom.

The space group is R-3m (No. 166, hexagonal axes) and the conventional cell measures 2.9197, 2.9197 and 32.6042 Å, with angles of 90.00, 90.00 and 120.00 degrees. The distinct sites, in fractional coordinates, are Li at (0.0000, 0.0000, 0.0000), Mg at (0.0000, 0.0000, 0.4106) and Ti at (0.0000, 0.0000, 0.5000).


A plane-wave DFT calculation with PBE was carried out for a geometry-optimized LiMg6Ti structure.

For the density of states at the Fermi level, the calculation gives 8.90 states/eV/cell. For the spin magnetization, the calculation gives 3.05 μB per cell. The calculation puts the formation energy at 5.8 kJ/mol of atoms. The value obtained for the total energy is -2.362 eV/atom.

The space group is Amm2 (No. 38) and the conventional cell measures 5.009, 6.282 and 10.891 Å, with angles of 90.00, 90.00 and 90.00 degrees. The distinct sites, in fractional coordinates, are Li at (0.000, 0.000, 0.000), Mg at (0.000, 0.000, 0.496), Mg at (0.000, 0.242, 0.253), Mg at (0.500, 0.000, 0.834), Mg at (0.500, 0.250, 0.084) and Ti at (0.500, 0.000, 0.334).


A plane-wave DFT calculation with PBE was carried out for a geometry-optimized LiMg2Ti structure.

For the density of states at the Fermi level, the calculation gives 10.56 states/eV/cell. The distance to the lowest polymorph of the same formula comes out at 401 meV/atom. For the spin magnetization, the calculation gives 0.00 μB per cell. The calculation puts the formation energy at 46.1 kJ/mol of atoms. The value obtained for the total energy is -2.772 eV/atom.

The space group is I-42d (No. 122) and the conventional cell measures 7.407, 7.407 and 5.841 Å, with angles of 90.00, 90.00 and 90.00 degrees. The distinct sites, in fractional coordinates, are Li at (0.000, 0.000, 0.000), Mg at (0.223, 0.250, 0.125) and Ti at (0.000, 0.000, 0.500).


A plane-wave DFT calculation with PBE was carried out for a geometry-optimized LiMgTi3 structure.

For the density of states at the Fermi level, the calculation gives 7.98 states/eV/cell. The distance to the lowest polymorph of the same formula comes out at 0 meV/atom. For the spin magnetization, the calculation gives 0.00 μB per cell. The calculation puts the formation energy at 81.4 kJ/mol of atoms. The value obtained for the total energy is -4.595 eV/atom.

The space group is Pm-3m (No. 221) and the conventional cell measures 4.526, 4.526 and 4.526 Å, with angles of 90.00, 90.00 and 90.00 degrees. The distinct sites, in fractional coordinates, are Li at (0.000, 0.000, 0.000), Mg at (0.500, 0.500, 0.500) and Ti at (0.000, 0.000, 0.500).


A plane-wave DFT calculation with PBE was carried out for a geometry-optimized LiMgTi3 structure.

For the density of states at the Fermi level, the calculation gives 8.63 states/eV/cell. The distance to the lowest polymorph of the same formula comes out at 530 meV/atom. For the spin magnetization, the calculation gives 1.01 μB per cell. The calculation puts the formation energy at 132.5 kJ/mol of atoms. The value obtained for the total energy is -4.066 eV/atom.

The space group is Pm-3m (No. 221) and the conventional cell measures 4.881, 4.881 and 4.881 Å, with angles of 90.00, 90.00 and 90.00 degrees. The distinct sites, in fractional coordinates, are Li at (0.000, 0.000, 0.000), Mg at (0.500, 0.500, 0.500) and Ti at (0.000, 0.500, 0.500).


A plane-wave DFT calculation with PBE was carried out for a geometry-optimized LiMg6Ti structure.

For the density of states at the Fermi level, the calculation gives 8.91 states/eV/cell. For the spin magnetization, the calculation gives 3.40 μB per cell. The calculation puts the formation energy at 5.9 kJ/mol of atoms. The value obtained for the total energy is -2.360 eV/atom.

The space group is Cmmm (No. 65) and the conventional cell measures 8.787, 8.806 and 4.439 Å, with angles of 90.00, 90.00 and 90.00 degrees. The distinct sites, in fractional coordinates, are Li at (0.000, 0.000, 0.000), Mg at (0.000, 0.257, 0.500), Mg at (0.244, 0.500, 0.500), Mg at (0.250, 0.250, 0.000) and Ti at (0.000, 0.500, 0.000).


A plane-wave DFT calculation with PBE was carried out for a geometry-optimized LiMg2Ti structure.

For the density of states at the Fermi level, the calculation gives 3.65 states/eV/cell. The distance to the lowest polymorph of the same formula comes out at 91 meV/atom. For the spin magnetization, the calculation gives 0.00 μB per cell. The calculation puts the formation energy at 16.2 kJ/mol of atoms. The value obtained for the total energy is -3.082 eV/atom.

The space group is P4/mmm (No. 123) and the conventional cell measures 4.901, 4.901 and 3.295 Å, with angles of 90.00, 90.00 and 90.00 degrees. The distinct sites, in fractional coordinates, are Li at (0.000, 0.000, 0.000), Mg at (0.000, 0.500, 0.500) and Ti at (0.500, 0.500, 0.000).


A plane-wave DFT calculation with PBE was carried out for a geometry-optimized LiMg2Ti2 structure.

For the density of states at the Fermi level, the calculation gives 6.05 states/eV/cell. The distance to the lowest polymorph of the same formula comes out at 0 meV/atom. For the spin magnetization, the calculation gives 4.83 μB per cell. The calculation puts the formation energy at 33.6 kJ/mol of atoms. The value obtained for the total energy is -3.830 eV/atom.

The space group is P4/mbm (No. 127) and the conventional cell measures 8.472, 8.472 and 3.007 Å, with angles of 90.00, 90.00 and 90.00 degrees. The distinct sites, in fractional coordinates, are Li at (0.000, 0.000, 0.000), Mg at (0.188, 0.312, 0.500) and Ti at (0.102, 0.602, 0.000).


A plane-wave DFT calculation with PBE was carried out for a geometry-optimized LiMgTi structure.

For the density of states at the Fermi level, the calculation gives 6.43 states/eV/cell. The distance to the lowest polymorph of the same formula comes out at 239 meV/atom. For the spin magnetization, the calculation gives 0.00 μB per cell. The calculation puts the formation energy at 24.6 kJ/mol of atoms. The value obtained for the total energy is -3.546 eV/atom.

The space group is P4/nmm (No. 129, origin choice 2) and the conventional cell measures 3.830, 3.830 and 7.689 Å, with angles of 90.00, 90.00 and 90.00 degrees. The distinct sites, in fractional coordinates, are Li at (0.250, 0.250, 0.188), Mg at (0.250, 0.250, 0.821) and Ti at (0.250, 0.750, 0.500).


A plane-wave DFT calculation with PBE was carried out for a geometry-optimized LiMg2Ti structure.

For the density of states at the Fermi level, the calculation gives 18.99 states/eV/cell. The distance to the lowest polymorph of the same formula comes out at 165 meV/atom. For the spin magnetization, the calculation gives 0.00 μB per cell. The calculation puts the formation energy at 23.3 kJ/mol of atoms. The value obtained for the total energy is -3.008 eV/atom.

The space group is Fm-3m (No. 225) and the conventional cell measures 6.796, 6.796 and 6.796 Å, with angles of 90.00, 90.00 and 90.00 degrees. The distinct sites, in fractional coordinates, are Li at (0.000, 0.000, 0.000), Mg at (0.250, 0.250, 0.250) and Ti at (0.000, 0.000, 0.500).


A plane-wave DFT calculation with PBE was carried out for a geometry-optimized LiMgTiTl structure.

For the density of states at the Fermi level, the calculation gives 10.80 states/eV/cell. For the spin magnetization, the calculation gives 0.16 μB per cell. The calculation puts the formation energy at 8.0 kJ/mol of atoms. The value obtained for the total energy is -3.359 eV/atom.

The space group is F-43m (No. 216) and the conventional cell measures 6.776, 6.776 and 6.776 Å, with angles of 90.00, 90.00 and 90.00 degrees. The distinct sites, in fractional coordinates, are Li at (0.000, 0.000, 0.000), Mg at (0.250, 0.250, 0.750), Ti at (0.000, 0.000, 0.500) and Tl at (0.250, 0.250, 0.250).


A plane-wave DFT calculation with PBE was carried out for a geometry-optimized LiMgZr2Ti structure.

For the density of states at the Fermi level, the calculation gives 7.27 states/eV/cell. For the spin magnetization, the calculation gives 0.00 μB per cell. The calculation puts the formation energy at 70.0 kJ/mol of atoms. The value obtained for the total energy is -4.975 eV/atom.

The space group is P4/mmm (No. 123) and the conventional cell measures 4.888, 4.888 and 5.109 Å, with angles of 90.00, 90.00 and 90.00 degrees. The distinct sites, in fractional coordinates, are Li at (0.000, 0.000, 0.000), Mg at (0.500, 0.500, 0.000), Zr at (0.000, 0.500, 0.500) and Ti at (0.000, 0.000, 0.500).


A plane-wave DFT calculation with PBE was carried out for a geometry-optimized LiMgTl structure.

For the density of states at the Fermi level, the calculation gives 5.07 states/eV/cell. The distance to the lowest polymorph of the same formula comes out at 33 meV/atom. For the spin magnetization, the calculation gives 0.00 μB per cell. The calculation puts the formation energy at -14.3 kJ/mol of atoms. The value obtained for the total energy is -2.107 eV/atom.

The space group is Fmm2 (No. 42) and the conventional cell measures 5.203, 5.333 and 9.337 Å, with angles of 90.00, 90.00 and 90.00 degrees. The distinct sites, in fractional coordinates, are Li at (0.000, 0.000, 0.000), Mg at (0.000, 0.000, 0.331) and Tl at (0.000, 0.000, 0.659).